Material: BaMnReO6
Method: DFT, GGA+U
State: relaxed

Cell and atoms, written as CIF:
```
data_BaMnReO6
_symmetry_space_group_name_H-M 'C 1 2 1'
_symmetry_Int_Tables_number 5
_cell_length_a 5.209
_cell_length_b 9.077
_cell_length_c 5.731
_cell_angle_alpha 90.00
_cell_angle_beta 90.07
_cell_angle_gamma 90.00
loop_
_symmetry_equiv_pos_as_xyz
'x,y,z'
'-x,y,-z'
'x+1/2,y+1/2,z'
'-x+1/2,y+1/2,-z'
loop_
_atom_site_label
_atom_site_fract_x
_atom_site_fract_y
_atom_site_fract_z
Ba1 0.000 0.000 0.000
Mn1 0.000 0.334 0.500
Re1 0.000 0.667 0.500
O1 0.108 0.505 0.312
O2 0.190 0.803 0.311
O3 0.204 0.194 0.312
```

Calculated values
**VASP energy**: -7.55 eV/atom